Entry from Alexandria via LeMat-Bulk: a geometry-optimized Tm2Th4Sc5 structure (PBE-GGA).

Calculated values
Energy (eV per atom): -6.3470
Calculated formation energy (eV per atom): 0.04
DOS(E_F) (states/eV/f.u.): 14.1
Magnetization (Bohr magnetons per cell): 0.0

a = 17.5451 Å, b = 3.4550 Å, c = 10.2238 Å
α = 90.00°, β = 92.09°, γ = 90.00°
Closest atoms and distances in Å follow each position.
Space group C2/m (No. 12)
One atom of each set of equivalent atoms:
Tm 0.0968 0.0000 0.4579 x4  5 Sc 3.28-3.45, 4 Th 3.42-3.49, 3 Tm 3.46-3.53
Th 0.0419 0.5000 0.7274 x4  4 Sc 3.32-3.40, 4 Tm 3.42-3.49, 4 Th 3.46-3.47
Th 0.1811 0.0000 0.9077 x4  6 Sc 3.34-3.36, 6 Th 3.46-3.47
Sc 0.0000 0.0000 0.0000 x2  6 Th 3.35-3.38, 6 Sc 3.41-3.46
Sc 0.1366 0.5000 0.1759 x4  4 Th 3.32-3.36, 6 Sc 3.41-3.46, 2 Tm 3.45
Sc 0.2278 0.5000 0.6429 x4  3 Tm 3.28-3.40, 3 Th 3.34-3.40, 6 Sc 3.43-3.51

Entry from Alexandria via LeMat-Bulk: a geometry-optimized Tm2ThSc5 structure (PBE-GGA).

Calculated values
Energy (eV per atom): -5.9726
Distance to the lowest polymorph of the same formula (meV per atom): 0
Calculated formation energy (eV per atom): 0.03
DOS(E_F) (states/eV/f.u.): 11.7
Magnetization (Bohr magnetons per cell): 0.0

a = 6.8094 Å, b = 6.8094 Å, c = 9.1556 Å
α = 90.00°, β = 90.00°, γ = 90.00°
Closest atoms and distances in Å follow each position.
Space group I4/mmm (No. 139)
One atom of each set of equivalent atoms:
Tm 0.0000 0.5000 0.0000 x4  10 Sc 3.32-3.40, 2 Th 3.40
Th 0.0000 0.0000 0.0000 x2  8 Sc 3.32, 4 Tm 3.40
Sc 0.0000 0.0000 0.5000 x2  8 Sc 3.32, 4 Tm 3.40
Sc 0.2500 0.2500 0.2500 x8  2 Th 3.32, 6 Sc 3.32-3.40, 4 Tm 3.32

Entry from Alexandria via LeMat-Bulk: a geometry-optimized Tm3Th3Sc structure (PBE-GGA).

Calculated values
Energy (eV per atom): -5.9619
Distance to the lowest polymorph of the same formula (meV per atom): 0
Calculated formation energy (eV per atom): 0.04
DOS(E_F) (states/eV/f.u.): 9.6
Magnetization (Bohr magnetons per cell): 0.0

a = 9.3595 Å, b = 9.3595 Å, c = 5.6683 Å
α = 90.00°, β = 90.00°, γ = 120.00°
Closest atoms and distances in Å follow each position.
Space group P6_3/m (No. 176)
One atom of each set of equivalent atoms:
Tm 0.0480 0.8088 0.2500 x6  6 Tm 3.50-3.55, 5 Th 3.51-3.63, 1 Sc 3.53
Th 0.1055 0.6182 0.7500 x6  4 Th 3.37-3.53, 3 Sc 3.44-3.61, 5 Tm 3.51-3.63
Sc 0.3333 0.6667 0.2500 x2  9 Th 3.44-3.61, 3 Tm 3.53

Entry from Alexandria via LeMat-Bulk: a geometry-optimized Tm2Th3Sc6 structure (PBE-GGA).

Calculated values
Energy (eV per atom): -6.0730
Calculated formation energy (eV per atom): 0.22
DOS(E_F) (states/eV/f.u.): 16.3
Magnetization (Bohr magnetons per cell): 0.0

a = 5.9248 Å, b = 10.2630 Å, c = 10.8111 Å
α = 90.00°, β = 100.46°, γ = 90.00°
Closest atoms and distances in Å follow each position.
Space group C2/m (No. 12)
One atom of each set of equivalent atoms:
Tm 0.0000 0.1666 0.0000 x4  6 Sc 3.33, 3 Tm 3.42
Th 0.0000 0.0000 0.5000 x2  6 Sc 3.29-3.31, 6 Th 3.42
Th 0.0000 0.3337 0.5000 x4  6 Sc 3.29-3.31, 6 Th 3.41-3.42
Sc 0.2454 0.5000 0.7485 x4  3 Th 3.29-3.31, 2 Tm 3.33, 6 Sc 3.39-3.44
Sc 0.2504 0.1649 0.7483 x8  3 Th 3.29-3.31, 2 Tm 3.33, 6 Sc 3.38-3.44